ZrPaI4 | Alexandria via LeMat-Bulk | PBE | relaxed; SG = P1, No. 1; mass density = 6.1 Mg/m³; VASP energy = -4.814 eV/atom
1.0
-1.419 -1.491 -3.193
7.169 -4.812 1.354
-4.694 -3.652 3.792
Zr Pa I
1 1 4
direct
0.002 0.005 0.945
0.496 0.992 0.543
0.861 0.727 0.629
0.113 0.224 0.368
0.393 0.790 0.117
0.633 0.263 0.897

TiCd2CoAu | Alexandria via LeMat-Bulk | PBE | relaxed; SG = P4/mmm, No. 123; mass density = 6.4 Mg/m³; VASP energy = -2.761 eV/atom; formation energy = 1.26 eV/atom
1.0
-4.380 -2.429 -1.760
2.736 -2.887 -2.826
0.365 -3.524 3.954
Co Ti Au Cd
1 1 1 2
direct
0.500 0.500 0.500
0.000 0.000 0.000
0.000 0.500 0.000
0.000 0.000 0.500
0.500 0.000 0.000

LaRe2Sb | Alexandria via LeMat-Bulk | PBE | relaxed; SG = C2/m, No. 12; mass density = 10.8 Mg/m³; VASP energy = -8.156 eV/atom
1.0
5.893 0.117 1.023
4.327 4.002 1.023
2.490 1.003 4.732
La Re Sb
1 2 1
direct
0.250 0.250 0.250
0.031 0.031 0.100
0.469 0.469 0.400
0.750 0.750 0.750

NiSb2RuI | Alexandria via LeMat-Bulk | PBE | relaxed; SG = P4/mmm, No. 123; mass density = 7.3 Mg/m³; polymorph energy (0 for the lowest one) = 0.108 eV per atom; VASP energy = -3.986 eV/atom
1.0
-4.438 0.245 -1.921
-1.930 -0.170 4.437
0.166 5.118 0.269
I Sb Ni Ru
1 2 1 1
direct
0.000 0.000 0.500
0.000 0.500 0.000
0.500 0.000 0.000
0.000 0.000 0.000
0.500 0.500 0.500

SmScAgAu | Alexandria via LeMat-Bulk | PBE | relaxed; SG = P4mm, No. 99; mass density = 9.3 Mg/m³; polymorph energy (0 for the lowest one) = 0.000 eV per atom; VASP energy = -4.831 eV/atom; formation energy = -0.54 eV/atom
1.0
3.506 0.000 0.000
0.000 3.506 0.000
0.000 0.000 7.282
Sm Sc Ag Au
1 1 1 1
direct
0.500 0.500 0.602
0.500 0.500 0.113
0.000 0.000 0.890
0.000 0.000 0.323

BaSr2MgAu | Alexandria via LeMat-Bulk | PBE | relaxed; SG = P4/mmm, No. 123; mass density = 4.3 Mg/m³; polymorph energy (0 for the lowest one) = 0.000 eV per atom; VASP energy = -2.309 eV/atom; formation energy = -0.28 eV/atom
1.0
-3.964 0.093 4.737
-2.194 -5.511 -1.727
3.687 -2.450 3.133
Sr Mg Au Ba
2 1 1 1
direct
0.000 0.500 0.000
0.500 0.000 0.000
0.000 0.000 0.500
0.000 0.000 0.000
0.500 0.500 0.500